1.
# Sc2FeCu

A relaxed Sc2FeCu crystal (PBEsol, Alexandria).

Geometry as POSCAR:
```
Sc2FeCu
1.0
4.426 0.000 0.000
2.213 3.833 0.000
2.213 1.278 3.613
Sc Fe Cu
2 1 1
direct
0.750 0.750 0.750
0.250 0.250 0.250
0.000 0.000 0.000
0.500 0.500 0.500
```

Output
**Crystal system**: cubic
**DFT formation energy**: -0.164 eV/atom
**Energy above the lowest structure with this stoichiometry**: 42 meV/atom
**Space group**: Fm-3m, No. 225


2.
# Sc2FeCu

A relaxed Sc2FeCu crystal (PBEsol, Alexandria).

Geometry as POSCAR:
```
Sc2FeCu
1.0
-1.399 -0.861 -2.637
2.724 0.130 -1.487
1.078 -6.153 1.439
Sc Fe Cu
2 1 1
direct
0.000 0.000 0.731
0.000 0.000 0.269
0.500 0.500 0.500
0.500 0.500 0.000
```

Output
**Crystal system**: tetragonal
**DFT formation energy**: -0.205 eV/atom
**Energy above the lowest structure with this stoichiometry**: 0 meV/atom
**Space group**: P4/mmm, No. 123


3.
# ScFeCu2

A relaxed ScFeCu2 crystal (PBEsol, Alexandria).

Geometry as POSCAR:
```
ScFeCu2
1.0
3.093 0.000 0.000
0.000 3.093 0.000
0.000 0.000 5.699
Cu Fe Sc
2 1 1
direct
0.000 0.000 0.035
0.500 0.500 0.250
0.000 0.000 0.466
0.500 0.500 0.749
```

Output
**Crystal system**: tetragonal
**DFT formation energy**: 0.012 eV/atom
**Space group**: P4mm, No. 99


4.
# FeCuSe3

A relaxed FeCuSe3 crystal (PBEsol, Alexandria).

Geometry as POSCAR:
```
FeCuSe3
1.0
4.674 0.000 0.000
0.000 4.674 0.000
0.000 0.000 4.674
Cu Se Fe
1 3 1
direct
0.000 0.000 0.000
0.000 0.500 0.000
0.000 0.000 0.500
0.500 0.000 0.000
0.500 0.500 0.500
```

Output
**Crystal system**: cubic
**Formation energy from raw total energies**: 808 meV per atom
**Space group**: Pm-3m, No. 221


5.
# Fe3CuSe

A relaxed Fe3CuSe crystal (PBEsol, Alexandria).

Geometry as POSCAR:
```
Fe3CuSe
1.0
-2.907 -2.936 -1.271
1.893 -0.193 -3.882
2.580 -3.167 1.416
Cu Se Fe
1 1 3
direct
0.000 0.000 0.000
0.500 0.500 0.500
0.000 0.500 0.000
0.000 0.000 0.500
0.500 0.000 0.000
```

Output
**Crystal system**: cubic
**Formation energy from raw total energies**: 1133 meV per atom
**Space group**: Pm-3m, No. 221


6.
# FeCuSe

A relaxed FeCuSe crystal (PBEsol, Alexandria).

Geometry as POSCAR:
```
FeCuSe
1.0
3.031 0.000 0.000
0.000 3.031 0.000
-1.515 -1.515 4.186
Cu Fe Se
1 1 1
direct
0.004 0.004 0.008
0.685 0.685 0.370
0.311 0.311 0.621
```

Output
**Crystal system**: tetragonal
**Formation energy from raw total energies**: 202 meV per atom
**Space group**: I4mm, No. 107


7.
# Fe2CuSnSe

A relaxed Fe2CuSnSe crystal (PBEsol, Alexandria).

Geometry as POSCAR:
```
Fe2CuSnSe
1.0
4.516 0.000 0.000
0.000 4.516 0.000
0.000 0.000 4.691
Cu Sn Se Fe
1 1 1 2
direct
0.000 0.000 0.000
0.000 0.000 0.500
0.500 0.500 0.500
0.000 0.500 0.000
0.500 0.000 0.000
```

Output
**Crystal system**: tetragonal
**Formation energy from raw total energies**: 957 meV per atom
**Space group**: P4/mmm, No. 123


8.
# Tl2FeCu3Se4

A relaxed Tl2FeCu3Se4 crystal (PBEsol, Alexandria).

Geometry as POSCAR:
```
Tl2FeCu3Se4
1.0
3.801 0.000 0.000
0.000 3.801 0.000
0.000 0.000 14.058
Tl Fe Cu Se
2 1 3 4
direct
0.500 0.000 0.738
0.000 0.500 0.262
0.500 0.500 0.000
0.000 0.000 0.500
0.000 0.000 0.000
0.500 0.500 0.500
0.000 0.500 0.894
0.500 0.000 0.390
0.500 0.000 0.106
0.000 0.500 0.610
```

Output
**Crystal system**: tetragonal
**Formation energy from raw total energies**: -217 meV per atom
**Space group**: P-4m2, No. 115


9.
# Fe2CuSi

A relaxed Fe2CuSi crystal (PBEsol, Alexandria).

Geometry as POSCAR:
```
Fe2CuSi
1.0
3.621 0.000 0.000
0.000 3.620 0.000
-1.810 -1.810 3.326
Cu Fe Si
1 2 1
direct
0.750 0.250 0.500
0.000 0.000 0.000
0.250 0.750 0.500
0.500 0.500 0.000
```

Output
**Crystal system**: tetragonal
**Formation energy from raw total energies**: -153 meV per atom
**Space group**: I-4m2, No. 119


10.
# FeCuSi

A relaxed FeCuSi crystal (PBEsol, Alexandria).

Geometry as POSCAR:
```
FeCuSi
1.0
2.523 0.000 0.000
0.000 3.899 0.000
0.000 -1.950 3.377
Cu Fe Si
1 1 1
direct
0.121 0.000 0.000
0.642 0.333 0.667
0.238 0.667 0.333
```

Output
**Crystal system**: trigonal
**Formation energy from raw total energies**: -138 meV per atom
**Space group**: P3m1, No. 156


11.
# Fe2CuSi

A relaxed Fe2CuSi crystal (PBEsol, Alexandria).

Geometry as POSCAR:
```
Fe2CuSi
1.0
-1.144 -0.633 -2.399
-1.340 -2.066 1.184
-4.370 3.500 1.161
Cu Fe Si
1 2 1
direct
0.500 0.500 0.500
0.000 0.000 0.769
0.000 0.000 0.231
0.500 0.500 0.000
```

Output
**Crystal system**: tetragonal
**Formation energy from raw total energies**: -140 meV per atom
**Space group**: P4/mmm, No. 123


12.
# FeCuSi4

A relaxed FeCuSi4 crystal (PBEsol, Alexandria).

Geometry as POSCAR:
```
FeCuSi4
1.0
-0.569 -1.698 -4.472
3.726 -1.993 -2.312
0.076 -4.749 -0.801
Cu Fe Si
1 1 4
direct
0.750 0.750 0.750
0.000 0.000 0.000
0.876 0.375 0.375
0.375 0.375 0.375
0.375 0.375 0.876
0.375 0.876 0.375
```

Output
**Crystal system**: cubic
**Formation energy from raw total energies**: 475 meV per atom
**Space group**: F-43m, No. 216


13.
# FeCuSi

A relaxed FeCuSi crystal (PBEsol, Alexandria).

Geometry as POSCAR:
```
FeCuSi
1.0
-0.659 3.612 1.126
-1.664 0.680 3.394
2.047 1.520 2.872
Cu Fe Si
1 1 1
direct
0.250 0.250 0.250
0.000 0.000 0.000
0.500 0.500 0.500
```

Output
**Crystal system**: cubic
**Formation energy from raw total energies**: 259 meV per atom
**Space group**: F-43m, No. 216


14.
# Fe6CuSi

A relaxed Fe6CuSi crystal (PBEsol, Alexandria).

Geometry as POSCAR:
```
Fe6CuSi
1.0
6.105 0.011 0.000
-2.064 5.746 0.000
0.000 0.000 9.980
Cu Fe Si
4 24 4
direct
0.253 0.747 0.000
0.747 0.253 0.000
0.500 0.500 0.751
0.500 0.500 0.249
0.251 0.749 0.749
0.878 0.628 0.874
0.122 0.372 0.874
0.749 0.251 0.749
0.372 0.122 0.874
0.628 0.878 0.874
0.500 0.500 0.500
0.124 0.373 0.625
0.373 0.124 0.625
0.251 0.749 0.251
0.876 0.627 0.375
0.124 0.373 0.375
0.749 0.251 0.251
0.373 0.124 0.375
0.627 0.876 0.375
0.500 0.500 0.000
0.122 0.372 0.126
0.372 0.122 0.126
0.000 0.000 0.500
0.627 0.876 0.625
0.876 0.627 0.625
0.000 0.000 0.000
0.628 0.878 0.126
0.878 0.628 0.126
0.253 0.747 0.500
0.747 0.253 0.500
0.000 0.000 0.752
0.000 0.000 0.248
```

Output
**Crystal system**: orthorhombic
**Formation energy from raw total energies**: -72 meV per atom
**Space group**: Cmmm, No. 65


15.
# Zn2FeCuSn

A relaxed Zn2FeCuSn crystal (PBEsol, Alexandria).

Geometry as POSCAR:
```
Zn2FeCuSn
1.0
-0.631 -0.683 4.419
-3.831 -2.218 -0.890
2.403 -4.038 -0.281
Zn Sn Cu Fe
2 1 1 1
direct
0.000 0.500 0.000
0.500 0.000 0.000
0.000 0.000 0.500
0.500 0.500 0.500
0.000 0.000 0.000
```

Output
**Crystal system**: tetragonal
**DFT formation energy**: 0.680 eV/atom
**Space group**: P4/mmm, No. 123


16.
# Sr2FeCu

A relaxed Sr2FeCu crystal (PBEsol, Alexandria).

Geometry as POSCAR:
```
Sr2FeCu
1.0
-1.608 3.234 2.166
-2.652 1.040 -3.521
-2.677 -3.867 3.786
Cu Fe Sr
1 1 2
direct
0.000 0.800 0.599
0.500 0.706 0.411
0.000 0.107 0.215
0.500 0.394 0.787
```

Output
**Crystal system**: orthorhombic
**DFT formation energy**: 0.353 eV/atom
**Energy above the lowest structure with this stoichiometry**: 0 meV/atom
**Space group**: Amm2, No. 38


17.
# Sr2FeCu

A relaxed Sr2FeCu crystal (PBEsol, Alexandria).

Geometry as POSCAR:
```
Sr2FeCu
1.0
4.357 0.000 0.000
0.000 4.357 0.000
-2.179 -2.179 5.176
Cu Fe Sr
1 1 2
direct
0.500 0.500 0.000
0.250 0.750 0.500
0.000 0.000 0.000
0.750 0.250 0.500
```

Output
**Crystal system**: tetragonal
**DFT formation energy**: 0.700 eV/atom
**Energy above the lowest structure with this stoichiometry**: 347 meV/atom
**Space group**: I-4m2, No. 119


18.
# SrFe2Cu

A relaxed SrFe2Cu crystal (PBEsol, Alexandria).

Geometry as POSCAR:
```
SrFe2Cu
1.0
2.833 0.000 0.000
1.417 2.454 0.000
1.417 0.818 9.113
Cu Fe Sr
1 2 1
direct
0.000 0.000 0.000
0.263 0.263 0.210
0.737 0.737 0.790
0.500 0.500 0.500
```

Output
**Crystal system**: trigonal
**DFT formation energy**: 1.032 eV/atom
**Space group**: R-3m, No. 166


19.
# SrFe2Cu

A relaxed SrFe2Cu crystal (PBEsol, Alexandria).

Geometry as POSCAR:
```
SrFe2Cu
1.0
-1.267 -3.332 -1.671
1.747 -3.421 0.861
-3.265 -2.981 3.783
Cu Fe Sr
1 2 1
direct
0.698 0.698 0.905
0.988 0.988 0.036
0.314 0.314 0.058
0.503 0.503 0.490
```

Output
**Crystal system**: trigonal
**DFT formation energy**: 0.334 eV/atom
**Space group**: R3m, No. 160


20.
# Sr2FeCu

A relaxed Sr2FeCu crystal (PBEsol, Alexandria).

Geometry as POSCAR:
```
Sr2FeCu
1.0
-2.538 2.522 -0.017
-1.120 -3.677 -1.696
-1.622 -1.579 7.885
Cu Fe Sr
1 1 2
direct
0.000 0.000 0.500
0.500 0.000 0.000
0.747 0.494 0.748
0.253 0.506 0.252
```

Output
**Crystal system**: monoclinic
**DFT formation energy**: 0.744 eV/atom
**Energy above the lowest structure with this stoichiometry**: 391 meV/atom
**Space group**: C2/m, No. 12


Number 1: magnetization 0.00 μB per formula unit. Number 2: magnetization 0.00 μB per formula unit. Number 3: magnetization 2.09 μB per formula unit. Number 4: magnetization 3.92 μB per formula unit. Number 5: magnetization 9.00 μB per formula unit. Number 6: magnetization 0.96 μB per formula unit. Number 7: magnetization 6.30 μB per formula unit. Number 8: magnetization 3.41 μB per formula unit. Number 9: magnetization 3.51 μB per formula unit. Number 10: magnetization 1.14 μB per formula unit. Number 11: magnetization 2.36 μB per formula unit. Number 12: magnetization 2.49 μB per formula unit. Number 13: magnetization 2.58 μB per formula unit. Number 14: magnetization 12.98 μB per formula unit. Number 15: magnetization 1.14 μB per formula unit. Number 16: magnetization 2.14 μB per formula unit. Number 17: magnetization 2.15 μB per formula unit. Number 18: magnetization 5.20 μB per formula unit. Number 19: magnetization 0.14 μB per formula unit. Number 20: magnetization 2.28 μB per formula unit.